(1)
This record from Alexandria via LeMat-Bulk describes a geometry-optimized Tb4Mg9Pb11 structure. The functional is GGA-PBE.

Cell and atoms, written as POSCAR:
```
Tb4Mg9Pb11
1.0
3.5399 0.0000 0.0000
0.0000 12.9929 -5.2575
0.0000 0.2715 14.0137
Mg Tb Pb
9 4 11
Direct
0.5000 0.3815 0.8354 Mg
0.5000 0.8354 0.3815 Mg
0.5000 0.9837 0.8012 Mg
0.5000 0.1646 0.6185 Mg
0.5000 0.0163 0.1988 Mg
0.5000 0.1988 0.0163 Mg
0.5000 0.5000 0.5000 Mg
0.5000 0.8012 0.9837 Mg
0.5000 0.6185 0.1646 Mg
0.5000 0.2491 0.4208 Tb
0.5000 0.5792 0.7509 Tb
0.5000 0.4208 0.2491 Tb
0.5000 0.7509 0.5792 Tb
0.0000 0.7867 0.7867 Pb
0.0000 0.0419 0.4041 Pb
0.0000 0.0000 0.0000 Pb
0.0000 0.4041 0.0419 Pb
0.0000 0.3743 0.6257 Pb
0.0000 0.1824 0.8176 Pb
0.0000 0.8176 0.1824 Pb
0.0000 0.2133 0.2133 Pb
0.0000 0.5959 0.9581 Pb
0.0000 0.6257 0.3743 Pb
0.0000 0.9581 0.5959 Pb
```

Summary:
- volume (Å³ per atom) = 27.07
- density (g cm⁻³) = 8.01
- crystal system = orthorhombic
- total DFT energy (no corrections) (eV/atom) = -3.198

(2)
This record from Alexandria via LeMat-Bulk describes a geometry-optimized ThTiCo4 structure. The functional is GGA-PBE.

Cell and atoms, written as POSCAR:
```
ThTiCo4
1.0
4.9249 0.0000 0.0000
2.4625 4.2651 0.0000
2.4625 1.4217 4.0212
Co Th Ti
4 1 1
Direct
0.6263 0.6263 0.1210 Co
0.6263 0.1210 0.6263 Co
0.6263 0.6263 0.6263 Co
0.1210 0.6263 0.6263 Co
0.2500 0.2500 0.2500 Th
0.0000 0.0000 0.0000 Ti
```

Summary:
- volume (Å³ per atom) = 14.08
- density (g cm⁻³) = 10.14
- crystal system = cubic
- total DFT energy (no corrections) (eV/atom) = -7.457

(3)
This record from Alexandria via LeMat-Bulk describes a geometry-optimized Cd6AgAu12 structure. The functional is GGA-PBE.

Cell and atoms, written as POSCAR:
```
Cd6AgAu12
1.0
-5.5871 3.7208 3.2530
0.1077 -6.4788 3.6953
6.0788 3.5038 2.5325
Au Cd Ag
12 6 1
Direct
0.0295 0.7604 0.2551 Au
0.2551 0.0295 0.7604 Au
0.7449 0.9705 0.2396 Au
0.3841 0.4500 0.8103 Au
0.6159 0.5500 0.1897 Au
0.1897 0.6159 0.5500 Au
0.2396 0.7449 0.9705 Au
0.7604 0.2551 0.0295 Au
0.4500 0.8103 0.3841 Au
0.8103 0.3841 0.4500 Au
0.5500 0.1897 0.6159 Au
0.9705 0.2396 0.7449 Au
0.4318 0.1504 0.1905 Cd
0.1504 0.1905 0.4318 Cd
0.5682 0.8496 0.8095 Cd
0.8496 0.8095 0.5682 Cd
0.8095 0.5682 0.8496 Cd
0.1905 0.4318 0.1504 Cd
0.0000 0.0000 0.0000 Ag
```

Summary:
- volume (Å³ per atom) = 19.79
- density (g cm⁻³) = 13.90
- crystal system = trigonal
- total DFT energy (no corrections) (eV/atom) = -2.601

> What is the volume in the first record?

27.07 Å³ per atom

> Number 2 is which compound?

ThTiCo4

Copy entry 3 word for word.
This record from Alexandria via LeMat-Bulk describes a geometry-optimized Cd6AgAu12 structure. The functional is GGA-PBE.

Cell and atoms, written as POSCAR:
```
Cd6AgAu12
1.0
-5.5871 3.7208 3.2530
0.1077 -6.4788 3.6953
6.0788 3.5038 2.5325
Au Cd Ag
12 6 1
Direct
0.0295 0.7604 0.2551 Au
0.2551 0.0295 0.7604 Au
0.7449 0.9705 0.2396 Au
0.3841 0.4500 0.8103 Au
0.6159 0.5500 0.1897 Au
0.1897 0.6159 0.5500 Au
0.2396 0.7449 0.9705 Au
0.7604 0.2551 0.0295 Au
0.4500 0.8103 0.3841 Au
0.8103 0.3841 0.4500 Au
0.5500 0.1897 0.6159 Au
0.9705 0.2396 0.7449 Au
0.4318 0.1504 0.1905 Cd
0.1504 0.1905 0.4318 Cd
0.5682 0.8496 0.8095 Cd
0.8496 0.8095 0.5682 Cd
0.8095 0.5682 0.8496 Cd
0.1905 0.4318 0.1504 Cd
0.0000 0.0000 0.0000 Ag
```

Summary:
- volume (Å³ per atom) = 19.79
- density (g cm⁻³) = 13.90
- crystal system = trigonal
- total DFT energy (no corrections) (eV/atom) = -2.601